Entry 1:
First-principles (PBE) data for crystalline Ba2AlZn at its relaxed geometry, as listed in OQMD via LeMat-Bulk.

abc: 5.6464 5.6464 5.6464
angles: 60.00 60.00 60.00
Last column: nearest neighbours and their distance in Å.
Fractional coordinates of all 4 atoms:
Al: 0.5000 0.5000 0.5000  4 Zn 3.46, 4 Ba 3.46
Ba: 0.0000 0.0000 0.0000  4 Zn 3.46, 4 Ba 3.46
Ba: 0.7500 0.7500 0.7500  4 Al 3.46, 4 Ba 3.46
Zn: 0.2500 0.2500 0.2500  4 Al 3.46, 4 Ba 3.46

***

Entry 2:
First-principles (PBE) data for crystalline IrS2 at its relaxed geometry, as listed in OQMD via LeMat-Bulk.

abc: 19.9964 5.6731 3.6045
angles: 90.00 90.00 90.00
Last column: nearest neighbours and their distance in Å.
Fractional coordinates of all 24 atoms:
Ir: 0.8042 0.0590 0.2500  6 S 2.31-2.41
Ir: 0.5774 0.0728 0.2500  6 S 2.33-2.42
Ir: 0.0774 0.4272 0.2500  6 S 2.33-2.42
Ir: 0.3042 0.4410 0.2500  6 S 2.31-2.41
Ir: 0.6958 0.5590 0.7500  6 S 2.31-2.41
Ir: 0.9226 0.5728 0.7500  6 S 2.33-2.42
Ir: 0.4226 0.9272 0.7500  6 S 2.33-2.42
Ir: 0.1958 0.9410 0.7500  6 S 2.31-2.41
S: 0.1232 0.0459 0.2500  3 Ir 2.35-2.39
S: 0.3594 0.0644 0.2500  3 Ir 2.33-2.41, 1 S 2.37
S: 0.8594 0.4356 0.2500  3 Ir 2.33-2.41, 1 S 2.37
S: 0.6232 0.4541 0.2500  3 Ir 2.35-2.39
S: 0.7630 0.6790 0.2500  3 Ir 2.31-2.35, 1 S 2.37
S: 0.9911 0.7229 0.2500  3 Ir 2.41-2.42
S: 0.4911 0.7771 0.2500  3 Ir 2.41-2.42
S: 0.2630 0.8210 0.2500  3 Ir 2.31-2.35, 1 S 2.37
S: 0.7370 0.1790 0.7500  3 Ir 2.31-2.35, 1 S 2.37
S: 0.5089 0.2229 0.7500  3 Ir 2.41-2.42
S: 0.0089 0.2771 0.7500  3 Ir 2.41-2.42
S: 0.2370 0.3210 0.7500  3 Ir 2.31-2.35, 1 S 2.37
S: 0.3768 0.5459 0.7500  3 Ir 2.35-2.39
S: 0.1406 0.5644 0.7500  3 Ir 2.33-2.41, 1 S 2.37
S: 0.6406 0.9356 0.7500  3 Ir 2.33-2.41, 1 S 2.37
S: 0.8768 0.9541 0.7500  3 Ir 2.35-2.39

The spin magnetization is 0.00 μB per formula unit.

***

Entry 3:
First-principles (PBE) data for crystalline Al2GaFe at its relaxed geometry, as listed in OQMD via LeMat-Bulk.

abc: 4.2499 4.2499 4.2499
angles: 60.00 60.00 60.00
Last column: nearest neighbours and their distance in Å.
Fractional coordinates of all 4 atoms:
Al: 0.0000 0.0000 0.0000  4 Al 2.60, 4 Fe 2.60
Al: 0.7500 0.7500 0.7500  4 Ga 2.60, 4 Al 2.60
Fe: 0.2500 0.2500 0.2500  4 Ga 2.60, 4 Al 2.60
Ga: 0.5000 0.5000 0.5000  4 Fe 2.60, 4 Al 2.60

The spin magnetization is 0.02 μB per formula unit.

***

Entry 4:
First-principles (PBE) data for crystalline Li2Ni3 at its relaxed geometry, as listed in OQMD via LeMat-Bulk.

abc: 5.8601 5.8601 5.0910
angles: 125.14 54.86 120.00
Last column: nearest neighbours and their distance in Å.
Fractional coordinates of all 10 atoms:
Li: 0.5874 0.4126 0.2379  1 Li 1.99
Li: 0.9126 0.0874 0.2621  1 Li 1.99
Li: 0.0874 0.9126 0.7379  1 Li 1.99
Li: 0.4126 0.5874 0.7621  1 Li 1.99
Ni: 0.0087 0.5087 0.2500  4 Li 2.27-2.33, 2 Ni 2.45
Ni: 0.2500 0.9913 0.2500  4 Li 2.27-2.33, 2 Ni 2.45
Ni: 0.4913 0.7500 0.2500  4 Li 2.27-2.33, 2 Ni 2.45
Ni: 0.5087 0.2500 0.7500  4 Li 2.27-2.33, 2 Ni 2.45
Ni: 0.7500 0.0087 0.7500  4 Li 2.27-2.33, 2 Ni 2.45
Ni: 0.9913 0.4913 0.7500  4 Li 2.27-2.33, 2 Ni 2.45

The spin magnetization is 0.74 μB per formula unit.

***

Entry 5:
First-principles (PBE) data for crystalline RbCoAuSeS2 at its relaxed geometry, as listed in OQMD via LeMat-Bulk.

abc: 8.5940 8.5940 9.7696
angles: 90.00 90.00 157.00
Last column: nearest neighbours and their distance in Å.
Fractional coordinates of all 12 atoms:
Au: 0.6063 0.3937 0.2500  2 S 2.32
Au: 0.3937 0.6063 0.7500  2 S 2.32
Co: 0.0000 0.0000 0.0000  4 S 2.30, 2 Se 2.54
Co: 0.0000 0.0000 0.5000  4 S 2.30, 2 Se 2.54
Rb: 0.2802 0.7198 0.2500  2 S 3.37, 2 Au 3.39, 2 Rb 3.43, 2 Se 3.46
Rb: 0.7198 0.2802 0.7500  2 S 3.37, 2 Au 3.39, 2 Rb 3.43, 2 Se 3.46
S: 0.5905 0.4095 0.0136  2 Co 2.30, 1 Au 2.32
S: 0.5905 0.4095 0.4864  2 Co 2.30, 1 Au 2.32
S: 0.4095 0.5905 0.5136  2 Co 2.30, 1 Au 2.32
S: 0.4095 0.5905 0.9864  2 Co 2.30, 1 Au 2.32
Se: 0.9586 0.0414 0.2500  2 Co 2.54
Se: 0.0414 0.9586 0.7500  2 Co 2.54

The spin magnetization is 0.02 μB per formula unit.

***

Entry 6:
First-principles (PBE) data for crystalline UTaSi at its relaxed geometry, as listed in OQMD via LeMat-Bulk.

abc: 4.5334 4.5334 4.5334
angles: 60.00 60.00 60.00
Last column: nearest neighbours and their distance in Å.
Fractional coordinates of all 3 atoms:
Si: 0.2500 0.2500 0.2500  4 U 2.78
Ta: 0.7500 0.7500 0.7500  4 U 2.78
U: 0.0000 0.0000 0.0000  4 Ta 2.78, 4 Si 2.78

The spin magnetization is 0.46 μB per formula unit.

***

Entry 7:
First-principles (PBE) data for crystalline Gd2HfSi2 at its relaxed geometry, as listed in OQMD via LeMat-Bulk.

abc: 7.2684 7.2684 4.1998
angles: 90.00 90.00 90.00
Last column: nearest neighbours and their distance in Å.
Fractional coordinates of all 10 atoms:
Gd: 0.3244 0.1756 0.5000  6 Si 2.94-3.05
Gd: 0.8244 0.3244 0.5000  6 Si 2.94-3.05
Gd: 0.1756 0.6756 0.5000  6 Si 2.94-3.05
Gd: 0.6756 0.8244 0.5000  6 Si 2.94-3.05
Hf: 0.0000 0.0000 0.0000  4 Si 2.88
Hf: 0.5000 0.5000 0.0000  4 Si 2.88
Si: 0.6243 0.1243 0.0000  1 Si 2.56
Si: 0.1243 0.3757 0.0000  1 Si 2.56
Si: 0.8757 0.6243 0.0000  1 Si 2.56
Si: 0.3757 0.8757 0.0000  1 Si 2.56

The spin magnetization is 0.04 μB per formula unit.

***

Entry 8:
First-principles (PBE) data for crystalline GaMo2C at its relaxed geometry, as listed in OQMD via LeMat-Bulk.

abc: 5.3282 5.3282 13.5260
angles: 101.41 101.41 60.00
Last column: nearest neighbours and their distance in Å.
Fractional coordinates of all 24 atoms:
C: 0.6666 0.1664 0.0000  6 Mo 2.12-2.13
C: 0.0000 0.5000 0.0000  6 Mo 2.12-2.13
C: 0.3334 0.8336 0.0000  6 Mo 2.12-2.13
C: 0.1664 0.6666 0.5000  6 Mo 2.12-2.13
C: 0.5000 0.0000 0.5000  6 Mo 2.12-2.13
C: 0.8336 0.3334 0.5000  6 Mo 2.12-2.13
Ga: 0.7483 0.5834 0.2498  6 Mo 2.77, 6 Ga 3.06-3.08
Ga: 0.0851 0.9149 0.2500  6 Mo 2.77, 6 Ga 3.06-3.08
Ga: 0.4166 0.2517 0.2502  6 Mo 2.77, 6 Ga 3.06-3.08
Ga: 0.5834 0.7483 0.7498  6 Mo 2.77, 6 Ga 3.06-3.08
Ga: 0.9149 0.0851 0.7500  6 Mo 2.77, 6 Ga 3.06-3.08
Ga: 0.2517 0.4166 0.7502  6 Mo 2.77, 6 Ga 3.06-3.08
Mo: 0.3622 0.5298 0.0881  3 C 2.12
Mo: 0.0302 0.1957 0.0886  3 C 2.12-2.13
Mo: 0.6966 0.8634 0.0887  3 C 2.12-2.13
Mo: 0.1366 0.3034 0.4114  3 C 2.12-2.13
Mo: 0.8043 0.9698 0.4114  3 C 2.12-2.13
Mo: 0.4702 0.6378 0.4119  3 C 2.12
Mo: 0.5298 0.3622 0.5881  3 C 2.12
Mo: 0.1957 0.0302 0.5886  3 C 2.12-2.13
Mo: 0.8634 0.6966 0.5886  3 C 2.12-2.13
Mo: 0.3034 0.1366 0.9114  3 C 2.12-2.13
Mo: 0.9698 0.8043 0.9114  3 C 2.12-2.13
Mo: 0.6378 0.4702 0.9119  3 C 2.12

The spin magnetization is 0.00 μB per formula unit.

***

Entry 9:
First-principles (PBE) data for crystalline TbGdAu at its relaxed geometry, as listed in OQMD via LeMat-Bulk.

abc: 4.8755 4.8755 4.8755
angles: 60.00 60.00 60.00
Last column: nearest neighbours and their distance in Å.
Fractional coordinates of all 3 atoms:
Au: 0.2500 0.2500 0.2500  4 Gd 2.99
Gd: 0.0000 0.0000 0.0000  4 Tb 2.99, 4 Au 2.99
Tb: 0.7500 0.7500 0.7500  4 Gd 2.99

The spin magnetization is 0.00 μB per formula unit. The formation energy comes out at 141 meV per atom.

***

Entry 10:
First-principles (PBE) data for crystalline Nd3Pt at its relaxed geometry, as listed in OQMD via LeMat-Bulk.

abc: 7.2850 9.9835 6.6349
angles: 90.00 90.00 90.00
Last column: nearest neighbours and their distance in Å.
Fractional coordinates of all 16 atoms:
Nd: 0.9736 0.7500 0.1381  2 Pt 2.93-3.02
Nd: 0.6793 0.0608 0.1717  2 Pt 2.95-2.97
Nd: 0.6793 0.4392 0.1717  2 Pt 2.95-2.97
Nd: 0.1793 0.0608 0.3283  2 Pt 2.95-2.97
Nd: 0.1793 0.4392 0.3283  2 Pt 2.95-2.97
Nd: 0.4736 0.7500 0.3619  2 Pt 2.93-3.02
Nd: 0.5264 0.2500 0.6381  2 Pt 2.93-3.02
Nd: 0.8207 0.5608 0.6717  2 Pt 2.95-2.97
Nd: 0.8207 0.9392 0.6717  2 Pt 2.95-2.97
Nd: 0.3207 0.5608 0.8283  2 Pt 2.95-2.97
Nd: 0.3207 0.9392 0.8283  2 Pt 2.95-2.97
Nd: 0.0264 0.2500 0.8619  2 Pt 2.93-3.02
Pt: 0.3834 0.2500 0.0653  6 Nd 2.93-3.02
Pt: 0.8834 0.2500 0.4347  6 Nd 2.93-3.02
Pt: 0.1166 0.7500 0.5653  6 Nd 2.93-3.02
Pt: 0.6166 0.7500 0.9347  6 Nd 2.93-3.02

The spin magnetization is 0.00 μB per formula unit. The formation energy comes out at -620 meV per atom.

***

Entry 11:
First-principles (PBE) data for crystalline NaLiUS3 at its relaxed geometry, as listed in OQMD via LeMat-Bulk.

abc: 6.5917 6.5917 10.4165
angles: 90.00 90.00 144.60
Last column: nearest neighbours and their distance in Å.
Fractional coordinates of all 12 atoms:
Li: 0.9731 0.0269 0.2500  4 S 2.35-2.37
Li: 0.0269 0.9731 0.7500  4 S 2.35-2.37
Na: 0.2450 0.7550 0.2500  6 S 2.94-3.19
Na: 0.7550 0.2450 0.7500  6 S 2.94-3.19
S: 0.8675 0.1325 0.0638  1 Li 2.35
S: 0.5738 0.4262 0.2500  2 Li 2.37
S: 0.8675 0.1325 0.4362  1 Li 2.35
S: 0.1325 0.8675 0.5638  1 Li 2.35
S: 0.4262 0.5738 0.7500  2 Li 2.37
S: 0.1325 0.8675 0.9362  1 Li 2.35
U: 0.5000 0.5000 0.0000  6 S 2.69-2.76
U: 0.5000 0.5000 0.5000  6 S 2.69-2.76

The spin magnetization is 2.00 μB per formula unit.

***

Entry 12:
First-principles (PBE) data for crystalline Tm3Be2Si4 at its relaxed geometry, as listed in OQMD via LeMat-Bulk.

abc: 5.5338 5.5338 7.7602
angles: 98.98 98.98 40.90
Last column: nearest neighbours and their distance in Å.
Fractional coordinates of all 9 atoms:
Be: 0.3909 0.3909 0.2189  3 Si 2.16-2.18
Be: 0.6091 0.6091 0.7811  3 Si 2.16-2.18
Si: 0.9390 0.9390 0.1162  2 Be 2.18, 1 Si 2.37
Si: 0.2848 0.2848 0.4360  1 Be 2.16, 2 Si 2.34
Si: 0.7152 0.7152 0.5640  1 Be 2.16, 2 Si 2.34
Si: 0.0610 0.0610 0.8838  2 Be 2.18, 1 Si 2.37
Tm: 0.6651 0.6651 0.1663  8 Si 2.93-3.04, 4 Be 2.94-3.01
Tm: 0.0000 0.0000 0.5000  8 Si 2.93-3.08, 4 Be 2.99
Tm: 0.3349 0.3349 0.8337  8 Si 2.93-3.04, 4 Be 2.94-3.01

The spin magnetization is 0.00 μB per formula unit.

***

Number 1: total energy -0.0770 Ha/atom. Number 2: total energy -0.2241 Ha/atom. Number 3: total energy -0.1689 Ha/atom. Number 4: total energy -0.1366 Ha/atom. Number 5: total energy -0.1524 Ha/atom. Number 6: total energy -0.3095 Ha/atom. Number 7: total energy -0.2456 Ha/atom. Number 8: total energy -0.3161 Ha/atom. Number 9: total energy -0.1486 Ha/atom. Number 10: total energy -0.2097 Ha/atom. Number 11: total energy -0.2133 Ha/atom. Number 12: total energy -0.1986 Ha/atom.